(1)
Density functional theory data (PBE-GGA) for a relaxed structure of Ho4HfP5.

```
Ho4HfP5
1.0
-3.838 -0.290 -4.000
-4.884 -4.565 1.166
-5.269 4.181 0.901
P Ho Hf
5 4 1
direct
0.904 0.387 0.807 P
0.711 0.193 0.387 P
0.501 0.000 0.000 P
0.098 0.613 0.193 P
0.291 0.807 0.613 P
0.200 0.204 0.397 Ho
0.802 0.796 0.603 Ho
0.598 0.603 0.204 Ho
0.404 0.397 0.796 Ho
0.001 0.000 0.000 Hf
```

Computed properties:
Its space group is I4/m, No. 87. Its total energy is -7.078 eV/atom. The value obtained for the formation energy is -1.546 eV per atom.

(2)
Density functional theory data (PBE-GGA) for a relaxed structure of Ho2HfP.

```
Ho2HfP
1.0
3.642 0.000 0.000
1.821 3.154 0.000
1.821 1.051 8.821
P Ho Hf
1 2 1
direct
0.500 0.500 0.500 P
0.768 0.768 0.695 Ho
0.232 0.232 0.305 Ho
0.000 0.000 0.000 Hf
```

Computed properties:
Its space group is R-3m, No. 166. Its total energy is -6.611 eV/atom. The value obtained for the formation energy is -0.481 eV per atom.

(3)
Density functional theory data (PBE-GGA) for a relaxed structure of HoHfP2.

```
HoHfP2
1.0
3.764 0.000 0.000
1.882 3.260 0.000
1.882 1.087 6.594
P Hf Ho
2 1 1
direct
0.076 0.076 0.771 P
0.257 0.257 0.229 P
0.670 0.670 0.989 Hf
0.496 0.496 0.512 Ho
```

Computed properties:
Its space group is R3m, No. 160. Its total energy is -7.677 eV/atom. The value obtained for the formation energy is -1.339 eV per atom. The energy above the most stable polymorph in this dataset is 113 meV/atom.

(4)
Density functional theory data (PBE-GGA) for a relaxed structure of Ho3HfP4.

```
Ho3HfP4
1.0
3.898 0.000 0.000
0.000 6.400 -2.180
0.000 -0.051 6.761
Hf P Ho
1 4 3
direct
0.500 0.000 0.000 Hf
0.500 0.757 0.243 P
0.000 0.762 0.762 P
0.000 0.238 0.238 P
0.500 0.243 0.757 P
0.000 0.000 0.500 Ho
0.500 0.500 0.500 Ho
0.000 0.500 0.000 Ho
```

Computed properties:
Its space group is Cmmm, No. 65. Its total energy is -7.202 eV/atom. The value obtained for the formation energy is -1.536 eV per atom.

(5)
Density functional theory data (PBE-GGA) for a relaxed structure of Ho2HfP3.

```
Ho2HfP3
1.0
7.250 0.797 4.657
5.070 5.793 3.952
-7.612 -3.602 -1.991
P Hf Ho
3 1 2
direct
0.161 0.161 0.000 P
0.500 0.500 0.000 P
0.839 0.839 0.000 P
0.000 0.000 0.000 Hf
0.333 0.333 0.000 Ho
0.667 0.667 0.000 Ho
```

Computed properties:
Its space group is I4/mmm, No. 139. Its total energy is -7.363 eV/atom. The value obtained for the formation energy is -1.473 eV per atom.

(6)
Density functional theory data (PBE-GGA) for a relaxed structure of HoHfPa2P4.

```
HoHfPa2P4
1.0
3.916 0.000 0.000
0.000 6.765 0.112
0.000 -2.368 6.282
Ho Hf P Pa
1 1 4 2
direct
0.500 0.500 0.000 Ho
0.000 0.000 0.000 Hf
0.000 0.756 0.243 P
0.000 0.244 0.757 P
0.500 0.761 0.762 P
0.500 0.239 0.238 P
0.000 0.500 0.500 Pa
0.500 0.000 0.500 Pa
```

Computed properties:
Its space group is P2/m, No. 10. Its total energy is -8.264 eV/atom. The value obtained for the formation energy is -1.368 eV per atom.

(7)
Density functional theory data (PBE-GGA) for a relaxed structure of Pm2HoHfP4.

```
Pm2HoHfP4
1.0
-1.961 -1.313 -3.189
5.964 -1.752 -2.947
-2.378 -5.339 3.661
P Ho Hf Pm
4 1 1 2
direct
0.500 0.766 0.772 P
0.000 0.754 0.234 P
0.000 0.246 0.766 P
0.500 0.234 0.228 P
0.500 0.500 0.000 Ho
0.000 0.000 0.000 Hf
0.500 0.000 0.500 Pm
0.000 0.500 0.500 Pm
```

Computed properties:
Its space group is P2/m, No. 10. Its total energy is -7.213 eV/atom. The value obtained for the formation energy is -1.504 eV per atom.

(8)
Density functional theory data (PBE-GGA) for a relaxed structure of Pr2HoHfP4.

```
Pr2HoHfP4
1.0
4.000 0.000 0.000
0.000 6.935 0.131
0.000 -2.413 6.536
Hf Pr P Ho
1 2 4 1
direct
0.000 0.000 0.000 Hf
0.000 0.500 0.500 Pr
0.500 0.000 0.500 Pr
0.500 0.232 0.223 P
0.500 0.768 0.777 P
0.000 0.753 0.229 P
0.000 0.247 0.771 P
0.500 0.500 0.000 Ho
```

Computed properties:
Its space group is P2/m, No. 10. Its total energy is -7.188 eV/atom. The value obtained for the formation energy is -1.472 eV per atom.

(9)
Density functional theory data (PBE-GGA) for a relaxed structure of HoPu2HfP4.

```
HoPu2HfP4
1.0
3.912 0.000 0.000
0.000 6.778 0.117
0.000 -2.367 6.320
P Pu Hf Ho
4 2 1 1
direct
0.500 0.762 0.762 P
0.500 0.238 0.238 P
0.000 0.240 0.756 P
0.000 0.760 0.244 P
0.500 0.000 0.500 Pu
0.000 0.500 0.500 Pu
0.000 0.000 0.000 Hf
0.500 0.500 0.000 Ho
```

Computed properties:
Its space group is P2/m, No. 10. Its total energy is -9.414 eV/atom. The value obtained for the formation energy is -1.309 eV per atom.

(10)
Density functional theory data (PBE-GGA) for a relaxed structure of Ho2PuHfP4.

```
Ho2PuHfP4
1.0
3.906 0.000 0.000
0.000 6.749 0.125
0.000 -2.350 6.338
Pu Ho P Hf
1 2 4 1
direct
0.000 0.000 0.000 Pu
0.500 0.000 0.500 Ho
0.000 0.500 0.500 Ho
0.500 0.745 0.759 P
0.500 0.255 0.241 P
0.000 0.738 0.237 P
0.000 0.262 0.763 P
0.500 0.500 0.000 Hf
```

Computed properties:
Its space group is P2/m, No. 10. Its total energy is -8.308 eV/atom. The value obtained for the formation energy is -1.422 eV per atom.

(11)
Density functional theory data (PBE-GGA) for a relaxed structure of HoHfP2Rh5.

```
HoHfP2Rh5
1.0
-3.223 -1.470 1.896
2.017 0.060 3.475
-3.336 9.593 1.769
P Rh Hf Ho
2 5 1 1
direct
0.500 0.500 0.719 P
0.500 0.500 0.281 P
0.000 0.500 0.821 Rh
0.500 0.000 0.179 Rh
0.500 0.000 0.821 Rh
0.000 0.500 0.179 Rh
0.500 0.500 0.500 Rh
0.000 0.000 0.000 Hf
0.000 0.000 0.500 Ho
```

Computed properties:
Its space group is P4/mmm, No. 123. Its total energy is -7.679 eV/atom. The value obtained for the formation energy is -0.778 eV per atom.

(12)
Density functional theory data (PBE-GGA) for a relaxed structure of Ho3HfP2Rh9.

```
Ho3HfP2Rh9
1.0
5.992 0.000 0.000
-2.996 5.190 0.000
0.000 0.000 9.140
Ho Hf Rh P
3 1 9 2
direct
0.667 0.333 0.320 Ho
0.000 0.000 0.000 Ho
0.333 0.667 0.680 Ho
0.000 0.000 0.500 Hf
0.500 0.500 0.000 Rh
0.155 0.310 0.283 Rh
0.690 0.845 0.283 Rh
0.155 0.845 0.283 Rh
0.500 0.000 0.000 Rh
0.310 0.155 0.717 Rh
0.845 0.155 0.717 Rh
0.000 0.500 0.000 Rh
0.845 0.690 0.717 Rh
0.667 0.333 0.843 P
0.333 0.667 0.157 P
```

Computed properties:
Its space group is P-3m1, No. 164. Its total energy is -7.337 eV/atom. The value obtained for the formation energy is -0.626 eV per atom.